Record 1
ZrAl2In | PBE | relaxed

Calculated values
theoretical density: 5.3 Mg/m³
symmetry: No. 216
crystal system: cubic
E: -18.06 eV per formula unit
M_tot: 0.01 μB/cell

Lattice parameters (Å, degrees): 4.8652 4.8652 4.8652 60.00 60.00 60.00
With the nearest neighbours (Å) after each atom.
Element x y z (fractional)
Al  0.2500  0.2500  0.2500  4 Al 2.98, 4 In 2.98
Al  0.0000  0.0000  0.0000  4 Zr 2.98, 4 Al 2.98
In  0.5000  0.5000  0.5000  4 Zr 2.98, 4 Al 2.98
Zr  0.7500  0.7500  0.7500  4 In 2.98, 4 Al 2.98

=====

Record 2
Sc2Zn5Cd | PBE | relaxed

Calculated values
theoretical density: 6.1 Mg/m³
symmetry: No. 63
crystal system: orthorhombic
E: -21.68 eV per formula unit
M_tot: 0.00 μB/cell

Lattice parameters (Å, degrees): 3.7970 8.4056 9.3130 90.00 90.00 103.05
With the nearest neighbours (Å) after each atom.
Element x y z (fractional)
Zn  0.6286  0.2572  0.7500  6 Zn 2.55-2.72, 1 Cd 2.63
Zn  0.6341  0.2681  0.4766  4 Zn 2.54-2.64, 1 Cd 2.69
Zn  0.3659  0.7319  0.9766  4 Zn 2.54-2.64, 1 Cd 2.69
Zn  0.7897  0.5794  0.0975  6 Zn 2.54-2.84
Zn  0.7897  0.5794  0.4025  6 Zn 2.54-2.84
Zn  0.3714  0.7428  0.2500  6 Zn 2.55-2.72, 1 Cd 2.63
Zn  0.2103  0.4206  0.5975  6 Zn 2.54-2.84
Zn  0.6341  0.2681  0.0234  4 Zn 2.54-2.64, 1 Cd 2.69
Zn  0.3659  0.7319  0.5234  4 Zn 2.54-2.64, 1 Cd 2.69
Zn  0.2103  0.4206  0.9025  6 Zn 2.54-2.84
Cd  0.4680  0.9360  0.7500  3 Zn 2.63-2.69
Cd  0.5320  0.0640  0.2500  3 Zn 2.63-2.69
Sc  0.8172  0.6345  0.7500  11 Zn 2.95-3.27, 2 Cd 3.11
Sc  0.0000  0.0000  0.0000  4 Zn 2.91, 4 Cd 3.05
Sc  0.1828  0.3655  0.2500  11 Zn 2.95-3.27, 2 Cd 3.11
Sc  0.0000  0.0000  0.5000  4 Zn 2.91, 4 Cd 3.05